--- i ---
! CrWCl2 | Alexandria | PBE | relaxed; values from VASP
! calculated volume	83.2	Å³/f.u.
! magnetic moment	2.3	μB/f.u.
! crystal system	monoclinic
&SYSTEM
  ibrav = 0, nat = 4, ntyp = 3
/
ATOMIC_SPECIES
W 183.84 W.upf
Cl 35.45 Cl.upf
Cr 52.00 Cr.upf
CELL_PARAMETERS angstrom
-1.4595 2.6550 -0.5096
-1.2812 -1.2703 -2.9489
-6.8847 -3.3189 2.4259
ATOMIC_POSITIONS crystal
W 0.5000 0.9700 0.6856
Cl 0.5000 0.1303 0.3604
Cl 0.0000 0.8520 0.9265
Cr 0.0000 0.5476 0.5275


--- ii ---
! CrWCl2 | Alexandria | PBE | relaxed; values from VASP
! calculated volume	68.7	Å³/f.u.
! magnetic moment	4.1	μB/f.u.
! crystal system	monoclinic
&SYSTEM
  ibrav = 0, nat = 4, ntyp = 3
/
ATOMIC_SPECIES
Cr 52.00 Cr.upf
Cl 35.45 Cl.upf
W 183.84 W.upf
CELL_PARAMETERS angstrom
-3.1138 2.7313 -0.5660
-1.5840 -2.0952 -1.3962
-1.7346 -0.8903 5.2458
ATOMIC_POSITIONS crystal
Cr 0.5000 0.2500 0.2500
Cl 0.0000 0.8860 0.9972
Cl 0.0000 0.6140 0.5028
W 0.5000 0.7500 0.7500


Tell me which of them is the least stable. Sure, it is ii.


--- i ---
! MgSb2P | Alexandria | PBE | relaxed; values from VASP
! calculated volume	100.1	Å³/f.u.
! magnetic moment	0.0	μB/f.u.
! crystal system	monoclinic
&SYSTEM
  ibrav = 0, nat = 4, ntyp = 3
/
ATOMIC_SPECIES
Mg 24.30 Mg.upf
Sb 121.76 Sb.upf
P 30.97 P.upf
CELL_PARAMETERS angstrom
-0.5658 2.1851 3.0093
-5.2359 -0.0898 -0.9192
-2.4352 -4.1067 2.5240
ATOMIC_POSITIONS crystal
Mg 0.0000 0.5316 0.5365
Sb 0.5000 0.2140 0.2859
Sb 0.0000 0.9691 0.9707
P 0.5000 0.7853 0.7069


--- ii ---
! MgSb2P | Alexandria | PBE | relaxed; values from VASP
! calculated volume	92.1	Å³/f.u.
! magnetic moment	0.0	μB/f.u.
! crystal system	cubic
&SYSTEM
  ibrav = 0, nat = 4, ntyp = 3
/
ATOMIC_SPECIES
Sb 121.76 Sb.upf
P 30.97 P.upf
Mg 24.30 Mg.upf
CELL_PARAMETERS angstrom
-2.2377 -4.3453 1.3458
0.8173 -1.9512 4.6071
-3.7082 0.0230 3.4568
ATOMIC_POSITIONS crystal
Sb 0.0000 0.0000 0.0000
Sb 0.2500 0.2500 0.2500
P 0.7500 0.7500 0.7500
Mg 0.5000 0.5000 0.5000


Tell me which of them is the least stable. Sure, it is ii.


--- i ---
! Ba2HgBr | Alexandria | PBE | relaxed; values from VASP
! calculated volume	204.3	Å³/f.u.
! magnetic moment	1.0	μB/f.u.
! crystal system	trigonal
&SYSTEM
  ibrav = 0, nat = 4, ntyp = 3
/
ATOMIC_SPECIES
Ba 137.33 Ba.upf
Hg 200.59 Hg.upf
Br 79.90 Br.upf
CELL_PARAMETERS angstrom
-6.7943 -4.7851 -7.6590
-2.6236 -5.3571 -9.5988
-4.1214 -8.3554 -6.3970
ATOMIC_POSITIONS crystal
Ba 0.2311 0.2311 0.2311
Ba 0.0125 0.0125 0.0125
Hg 0.7484 0.7484 0.7484
Br 0.5080 0.5080 0.5080


--- ii ---
! Ba2HgBr | Alexandria | PBE | relaxed; values from VASP
! calculated volume	169.6	Å³/f.u.
! magnetic moment	0.4	μB/f.u.
! crystal system	trigonal
&SYSTEM
  ibrav = 0, nat = 4, ntyp = 3
/
ATOMIC_SPECIES
Ba 137.33 Ba.upf
Hg 200.59 Hg.upf
Br 79.90 Br.upf
CELL_PARAMETERS angstrom
-8.0799 -3.6202 2.1779
-4.9150 -5.9972 4.7968
-6.4436 -1.7332 6.2137
ATOMIC_POSITIONS crystal
Ba 0.9968 0.9968 0.9968
Ba 0.5032 0.5032 0.5032
Hg 0.2500 0.2500 0.2500
Br 0.7500 0.7500 0.7500


Tell me which of them is the least stable. Sure, it is i.